# FeNiP2O

A geometry-optimized FeNiP2O structure (PBE with a Hubbard U, Alexandria).

Unit cell a=4.757 b=4.757 c=3.486 alpha=90.00 beta=90.00 gamma=90.00
Space group P4/mmm (No. 123)
Asymmetric unit:
Fe 0.000 0.000 0.000
Ni 0.500 0.500 0.500
P 0.000 0.500 0.000
O 0.000 0.000 0.500

Calculated values
N(E_F)   3.0 states/eV per cell
Final energy   -4.19 eV per atom
Distance to the lowest polymorph of the same formula   0 meV/atom